Entry from the Alexandria database: a geometry-optimized HoLuBr2 structure (GGA-PBE).

The space group is R-3m (No. 166, hexagonal axes) and the conventional cell measures 3.6193, 3.6193 and 29.7276 Å, with angles of 90.00, 90.00 and 120.00 degrees. The asymmetric unit holds Ho at (0.0000, 0.0000, 0.0000), Lu at (0.0000, 0.0000, 0.5000) and Br at (0.0000, 0.0000, 0.4043).

---

Entry from the Alexandria database: a geometry-optimized HoLuBr structure (GGA-PBE).

The space group is P3m1 (No. 156) and the conventional cell measures 3.6628, 3.6628 and 7.1895 Å, with angles of 90.00, 90.00 and 120.00 degrees. The asymmetric unit holds Ho at (0.0000, 0.0000, 0.0000), Lu at (0.3333, 0.6667, 0.6411) and Br at (0.6667, 0.3333, 0.3225).

---

Entry from the Alexandria database: a geometry-optimized HoMgBr structure (GGA-PBE).

The space group is Amm2 (No. 38) and the conventional cell measures 15.6337, 3.5965 and 6.2163 Å, with angles of 90.00, 90.00 and 90.00 degrees. The asymmetric unit holds Ho at (0.1689, 0.0000, 0.0000), Mg at (0.0000, 0.0000, 0.3356), Mg at (0.5000, 0.0000, 0.3254) and Br at (0.3004, 0.0000, 0.3331).

---

Entry from the Alexandria database: a geometry-optimized Ho2MgBr structure (GGA-PBE).

The space group is R-3m (No. 166, hexagonal axes) and the conventional cell measures 3.4433, 3.4433 and 33.8817 Å, with angles of 90.00, 90.00 and 120.00 degrees. The asymmetric unit holds Ho at (0.0000, 0.0000, 0.0966), Mg at (0.0000, 0.0000, 0.0000) and Br at (0.0000, 0.0000, 0.5000).

---

Entry from the Alexandria database: a geometry-optimized NaHoMg2Br8 structure (GGA-PBE).

The space group is P2/m (No. 10) and the conventional cell measures 6.4993, 8.2214 and 6.7303 Å, with angles of 90.00, 90.18 and 90.00 degrees. The asymmetric unit holds Na at (0.0000, 0.0000, 0.0000), Ho at (0.0000, 0.5000, 0.0000), Mg at (0.5000, 0.2376, 0.5000), Br at (0.2338, 0.2610, 0.1836), Br at (0.2827, 0.5000, 0.6703) and Br at (0.2881, 0.0000, 0.6636).

---

Entry from the Alexandria database: a geometry-optimized RbHoMgBr6 structure (GGA-PBE).

The space group is P-31c (No. 163) and the conventional cell measures 7.1558, 7.1558 and 15.4454 Å, with angles of 90.00, 90.00 and 120.00 degrees. The asymmetric unit holds Rb at (0.0000, 0.0000, 0.0000), Ho at (0.3333, 0.6667, 0.2500), Mg at (0.3333, 0.6667, 0.7500) and Br at (0.0095, 0.3794, 0.6470).

---

Entry from the Alexandria database: a geometry-optimized HoMgTlBr6 structure (GGA-PBE).

The space group is P-31c (No. 163) and the conventional cell measures 7.1541, 7.1541 and 14.6148 Å, with angles of 90.00, 90.00 and 120.00 degrees. The asymmetric unit holds Ho at (0.3333, 0.6667, 0.2500), Mg at (0.3333, 0.6667, 0.7500), Tl at (0.0000, 0.0000, 0.0000) and Br at (0.0096, 0.3767, 0.6420).

---

Entry from the Alexandria database: a geometry-optimized HoMnBr structure (GGA-PBE).

The space group is R-3m (No. 166, hexagonal axes) and the conventional cell measures 3.7971, 3.7971 and 36.0257 Å, with angles of 90.00, 90.00 and 120.00 degrees. The asymmetric unit holds Ho at (0.0000, 0.0000, 0.0580), Mn at (0.0000, 0.0000, 0.3356) and Br at (0.0000, 0.0000, 0.2217).

---

Entry from the Alexandria database: a geometry-optimized HoMnBr6 structure (GGA-PBE).

The space group is P-1 (No. 2) and the conventional cell measures 6.7586, 6.7641 and 7.2559 Å, with angles of 90.04, 117.71 and 119.93 degrees. The asymmetric unit holds Ho at (0.0000, 0.0000, 0.0000), Mn at (0.0000, 0.5000, 0.5000), Br at (0.1513, 0.4169, 0.2598), Br at (0.1572, 0.2655, 0.7404) and Br at (0.4752, 0.8916, 0.7405).

---

Entry from the Alexandria database: a geometry-optimized NaHoMnBr6 structure (GGA-PBE).

The space group is P-31c (No. 163) and the conventional cell measures 7.0252, 7.0252 and 13.4270 Å, with angles of 90.00, 90.00 and 120.00 degrees. The asymmetric unit holds Na at (0.0000, 0.0000, 0.0000), Ho at (0.3333, 0.6667, 0.2500), Mn at (0.3333, 0.6667, 0.7500) and Br at (0.0102, 0.3625, 0.6332).

---

Entry from the Alexandria database: a geometry-optimized HoMnTlBr6 structure (GGA-PBE).

The space group is P-31c (No. 163) and the conventional cell measures 7.1308, 7.1308 and 14.7252 Å, with angles of 90.00, 90.00 and 120.00 degrees. The asymmetric unit holds Ho at (0.3333, 0.6667, 0.2500), Mn at (0.3333, 0.6667, 0.7500), Tl at (0.0000, 0.0000, 0.0000) and Br at (0.0101, 0.3761, 0.6426).

---

ΔE_f (raw) for the records above, in order: -0.932 -0.708 -0.614 -0.203 -1.565 -1.736 -1.524 -0.906 -1.145 -1.433 -1.293 eV/atom
E_tot for the records above, in order: -4.0427 -4.2985 -3.2295 -3.3089 -3.4370 -3.6448 -3.5876 -6.0460 -4.1179 -4.2226 -4.1987 eV per atom